1.
Here is a geometry-optimized TbPm4As5 structure from Alexandria. Energies are from PBE-GGA.

Cell and atoms, written as CIF:
```
data_TbPm4As5
_chemical_formula_sum 'Tb2 Pm8 As10'
_cell_length_a 9.4358
_cell_length_b 9.4358
_cell_length_c 5.9680
_cell_angle_alpha 90.00
_cell_angle_beta 90.00
_cell_angle_gamma 90.00
_space_group_name_H-M_alt 'I 4/m'
_space_group_IT_number 87
_space_group_name_Hall '-I 4'
loop_
_atom_site_label
_atom_site_type_symbol
_atom_site_fract_x
_atom_site_fract_y
_atom_site_fract_z
Tb1 Tb 0.0000 0.0000 0.0000
Pm1 Pm 0.0991 0.2999 0.5000
As1 As 0.0000 0.0000 0.5000
As2 As 0.0991 0.2969 0.0000
```

Values from the calculation:
ΔH_f (0 K): -15.3 eV per formula unit

=====

2.
Here is a geometry-optimized Tb3PmAs4 structure from Alexandria. Energies are from PBE-GGA.

Cell and atoms, written as CIF:
```
data_Tb3PmAs4
_chemical_formula_sum 'Tb3 Pm1 As4'
_cell_length_a 5.8860
_cell_length_b 5.8860
_cell_length_c 5.8860
_cell_angle_alpha 90.00
_cell_angle_beta 90.00
_cell_angle_gamma 90.00
_space_group_name_H-M_alt 'P m -3 m'
_space_group_IT_number 221
_space_group_name_Hall '-P 4 2 3'
loop_
_atom_site_label
_atom_site_type_symbol
_atom_site_fract_x
_atom_site_fract_y
_atom_site_fract_z
Tb1 Tb 0.0000 0.0000 0.5000
Pm1 Pm 0.5000 0.5000 0.5000
As1 As 0.0000 0.0000 0.0000
As2 As 0.0000 0.5000 0.5000
```

Values from the calculation:
ΔH_f (0 K): -12.3 eV per formula unit

=====

3.
Here is a geometry-optimized TbPmAs structure from Alexandria. Energies are from PBE-GGA.

Cell and atoms, written as CIF:
```
data_TbPmAs
_chemical_formula_sum 'Tb4 Pm4 As4'
_cell_length_a 6.9312
_cell_length_b 6.9312
_cell_length_c 6.9312
_cell_angle_alpha 90.00
_cell_angle_beta 90.00
_cell_angle_gamma 90.00
_space_group_name_H-M_alt 'F -4 3 m'
_space_group_IT_number 216
_space_group_name_Hall 'F -4 2 3'
loop_
_atom_site_label
_atom_site_type_symbol
_atom_site_fract_x
_atom_site_fract_y
_atom_site_fract_z
Tb1 Tb 0.0000 0.0000 0.0000
Pm1 Pm 0.0000 0.0000 0.5000
As1 As 0.2500 0.2500 0.2500
```

Values from the calculation:
ΔH_f (0 K): -2.4 eV per formula unit
energy above the lowest structure with this stoichiometry: 54.2 meV per atom

=====

4.
Here is a geometry-optimized TbPmAs structure from Alexandria. Energies are from PBE-GGA.

Cell and atoms, written as CIF:
```
data_TbPmAs
_chemical_formula_sum 'Tb1 Pm1 As1'
_cell_length_a 4.0233
_cell_length_b 4.0233
_cell_length_c 6.6161
_cell_angle_alpha 90.00
_cell_angle_beta 90.00
_cell_angle_gamma 120.00
_space_group_name_H-M_alt 'P 3 m 1'
_space_group_IT_number 156
_space_group_name_Hall 'P 3 -2"'
loop_
_atom_site_label
_atom_site_type_symbol
_atom_site_fract_x
_atom_site_fract_y
_atom_site_fract_z
Tb1 Tb 0.0000 0.0000 0.0000
Pm1 Pm 0.3333 0.6667 0.4816
As1 As 0.6667 0.3333 0.7484
```

Values from the calculation:
ΔH_f (0 K): -2.6 eV per formula unit
energy above the lowest structure with this stoichiometry: 0.0 meV per atom

=====

5.
Here is a geometry-optimized TbPmTeAs structure from Alexandria. Energies are from PBE-GGA.

Cell and atoms, written as CIF:
```
data_TbPmTeAs
_chemical_formula_sum 'Tb3 Pm3 Te3 As3'
_cell_length_a 4.2040
_cell_length_b 4.2040
_cell_length_c 22.3478
_cell_angle_alpha 90.00
_cell_angle_beta 90.00
_cell_angle_gamma 120.00
_space_group_name_H-M_alt 'R 3 m'
_space_group_IT_number 160
_space_group_name_Hall 'R 3 -2"'
loop_
_atom_site_label
_atom_site_type_symbol
_atom_site_fract_x
_atom_site_fract_y
_atom_site_fract_z
Tb1 Tb 0.0000 0.0000 0.0000
Pm1 Pm 0.0000 0.0000 0.8109
Te1 Te 0.0000 0.0000 0.2401
As1 As 0.0000 0.0000 0.4050
```

Values from the calculation:
VASP energy: -69.30 eV per cell

=====

6.
Here is a geometry-optimized TbPm2ThAs4 structure from Alexandria. Energies are from PBE-GGA.

Cell and atoms, written as CIF:
```
data_TbPm2ThAs4
_chemical_formula_sum 'Tb1 Pm2 Th1 As4'
_cell_length_a 7.2946
_cell_length_b 4.2238
_cell_length_c 7.3119
_cell_angle_alpha 90.00
_cell_angle_beta 109.45
_cell_angle_gamma 90.00
_space_group_name_H-M_alt 'P 1 2/m 1'
_space_group_IT_number 10
_space_group_name_Hall '-P 2y'
loop_
_atom_site_label
_atom_site_type_symbol
_atom_site_fract_x
_atom_site_fract_y
_atom_site_fract_z
Tb1 Tb 0.0000 0.0000 0.0000
Pm1 Pm 0.0000 0.5000 0.5000
Pm2 Pm 0.5000 0.0000 0.5000
Th1 Th 0.5000 0.5000 0.0000
As1 As 0.2465 0.5000 0.2451
As2 As 0.2484 0.0000 0.7526
```

Values from the calculation:
ΔH_f (0 K): -12.2 eV per formula unit

=====

7.
Here is a geometry-optimized Tb2PmThAs4 structure from Alexandria. Energies are from PBE-GGA.

Cell and atoms, written as CIF:
```
data_Tb2PmThAs4
_chemical_formula_sum 'Tb2 Pm1 Th1 As4'
_cell_length_a 7.2467
_cell_length_b 4.2003
_cell_length_c 7.2642
_cell_angle_alpha 90.00
_cell_angle_beta 109.48
_cell_angle_gamma 90.00
_space_group_name_H-M_alt 'P 1 2/m 1'
_space_group_IT_number 10
_space_group_name_Hall '-P 2y'
loop_
_atom_site_label
_atom_site_type_symbol
_atom_site_fract_x
_atom_site_fract_y
_atom_site_fract_z
Tb1 Tb 0.0000 0.0000 0.0000
Tb2 Tb 0.0000 0.5000 0.5000
Pm1 Pm 0.5000 0.0000 0.5000
Th1 Th 0.5000 0.5000 0.0000
As1 As 0.2441 0.0000 0.7484
As2 As 0.2445 0.5000 0.2472
```

Values from the calculation:
ΔH_f (0 K): -12.2 eV per formula unit

=====

8.
Here is a geometry-optimized Tb3PmTh2As6 structure from Alexandria. Energies are from PBE-GGA.

Cell and atoms, written as CIF:
```
data_Tb3PmTh2As6
_chemical_formula_sum 'Tb6 Pm2 Th4 As12'
_cell_length_a 18.2677
_cell_length_b 4.2038
_cell_length_c 8.3732
_cell_angle_alpha 90.00
_cell_angle_beta 103.06
_cell_angle_gamma 90.00
_space_group_name_H-M_alt 'C 1 2/m 1'
_space_group_IT_number 12
_space_group_name_Hall '-C 2y'
loop_
_atom_site_label
_atom_site_type_symbol
_atom_site_fract_x
_atom_site_fract_y
_atom_site_fract_z
Tb1 Tb 0.0000 0.0000 0.0000
Tb2 Tb 0.1656 0.5000 0.3339
Pm1 Pm 0.0000 0.0000 0.5000
Th1 Th 0.1653 0.5000 0.8308
As1 As 0.0011 0.5000 0.2460
As2 As 0.1657 0.0000 0.0864
As3 As 0.1682 0.0000 0.5801
```

Values from the calculation:
ΔH_f (0 K): -18.1 eV per formula unit

=====

9.
Here is a geometry-optimized TbPmTh2As4 structure from Alexandria. Energies are from PBE-GGA.

Cell and atoms, written as CIF:
```
data_TbPmTh2As4
_chemical_formula_sum 'Tb1 Pm1 Th2 As4'
_cell_length_a 7.2879
_cell_length_b 4.2320
_cell_length_c 7.3285
_cell_angle_alpha 90.00
_cell_angle_beta 109.65
_cell_angle_gamma 90.00
_space_group_name_H-M_alt 'P 1 2/m 1'
_space_group_IT_number 10
_space_group_name_Hall '-P 2y'
loop_
_atom_site_label
_atom_site_type_symbol
_atom_site_fract_x
_atom_site_fract_y
_atom_site_fract_z
Tb1 Tb 0.0000 0.0000 0.0000
Pm1 Pm 0.0000 0.5000 0.5000
Th1 Th 0.5000 0.0000 0.5000
Th2 Th 0.5000 0.5000 0.0000
As1 As 0.2462 0.5000 0.2461
As2 As 0.2483 0.0000 0.7520
```

Values from the calculation:
ΔH_f (0 K): -11.8 eV per formula unit

=====

10.
Here is a geometry-optimized Tb2Pm3TmAs6 structure from Alexandria. Energies are from PBE-GGA.

Cell and atoms, written as CIF:
```
data_Tb2Pm3TmAs6
_chemical_formula_sum 'Tb4 Pm6 Tm2 As12'
_cell_length_a 18.1992
_cell_length_b 4.1790
_cell_length_c 8.3495
_cell_angle_alpha 90.00
_cell_angle_beta 103.22
_cell_angle_gamma 90.00
_space_group_name_H-M_alt 'C 1 2/m 1'
_space_group_IT_number 12
_space_group_name_Hall '-C 2y'
loop_
_atom_site_label
_atom_site_type_symbol
_atom_site_fract_x
_atom_site_fract_y
_atom_site_fract_z
Tb1 Tb 0.1663 0.0000 0.3327
Pm1 Pm 0.0000 0.5000 0.5000
Pm2 Pm 0.1669 0.0000 0.8336
Tm1 Tm 0.0000 0.5000 0.0000
As1 As 0.0011 0.0000 0.2431
As2 As 0.1640 0.5000 0.0859
As3 As 0.1680 0.5000 0.5798
```

Values from the calculation:
ΔH_f (0 K): -18.3 eV per formula unit

=====

11.
Here is a geometry-optimized Tb2PmTmAs4 structure from Alexandria. Energies are from PBE-GGA.

Cell and atoms, written as CIF:
```
data_Tb2PmTmAs4
_chemical_formula_sum 'Tb2 Pm1 Tm1 As4'
_cell_length_a 7.1789
_cell_length_b 4.1484
_cell_length_c 7.1811
_cell_angle_alpha 90.00
_cell_angle_beta 109.47
_cell_angle_gamma 90.00
_space_group_name_H-M_alt 'P 1 2/m 1'
_space_group_IT_number 10
_space_group_name_Hall '-P 2y'
loop_
_atom_site_label
_atom_site_type_symbol
_atom_site_fract_x
_atom_site_fract_y
_atom_site_fract_z
Tb1 Tb 0.0000 0.0000 0.0000
Tb2 Tb 0.5000 0.5000 0.0000
Pm1 Pm 0.0000 0.5000 0.5000
Tm1 Tm 0.5000 0.0000 0.5000
As1 As 0.2552 0.5000 0.2511
As2 As 0.2557 0.0000 0.7525
```

Values from the calculation:
ΔH_f (0 K): -12.2 eV per formula unit

=====

12.
Here is a geometry-optimized Tb3Pm2TmAs6 structure from Alexandria. Energies are from PBE-GGA.

Cell and atoms, written as CIF:
```
data_Tb3Pm2TmAs6
_chemical_formula_sum 'Tb6 Pm4 Tm2 As12'
_cell_length_a 18.1321
_cell_length_b 4.1623
_cell_length_c 8.3190
_cell_angle_alpha 90.00
_cell_angle_beta 103.27
_cell_angle_gamma 90.00
_space_group_name_H-M_alt 'C 1 2/m 1'
_space_group_IT_number 12
_space_group_name_Hall '-C 2y'
loop_
_atom_site_label
_atom_site_type_symbol
_atom_site_fract_x
_atom_site_fract_y
_atom_site_fract_z
Tb1 Tb 0.0000 0.0000 0.0000
Tb2 Tb 0.1672 0.5000 0.3340
Pm1 Pm 0.1657 0.5000 0.8319
Tm1 Tm 0.0000 0.0000 0.5000
As1 As 0.0019 0.5000 0.2545
As2 As 0.1654 0.0000 0.0867
As3 As 0.1651 0.0000 0.5780
```

Values from the calculation:
ΔH_f (0 K): -18.3 eV per formula unit